VASP calculation (PBE) on Rb3Pu3PaS8 after structural relaxation. Values from VASP.

```
&SYSTEM
  ibrav = 0, nat = 15, ntyp = 4
/
ATOMIC_SPECIES
Rb 85.47 Rb.upf
Pu 244.00 Pu.upf
Pa 231.04 Pa.upf
S 32.06 S.upf
CELL_PARAMETERS angstrom
7.155 -4.118 0.000
7.155 4.118 0.000
-4.755 0.000 7.776
ATOMIC_POSITIONS crystal
Rb 0.000 0.000 0.000
Rb 0.000 0.500 0.000
Rb 0.500 0.000 0.000
Pu 0.000 0.500 0.500
Pu 0.500 0.000 0.500
Pu 0.500 0.500 0.500
Pa 0.000 0.000 0.500
S 0.221 0.221 0.684
S 0.221 0.743 0.685
S 0.257 0.779 0.315
S 0.269 0.269 0.311
S 0.731 0.731 0.689
S 0.743 0.221 0.685
S 0.779 0.257 0.315
S 0.779 0.779 0.316
```

Results
Magnetization: 5.35 μB per formula unit
DOS at the Fermi energy: 36.36 states/eV/f.u.
Raw formation energy: -1.5872 eV/atom


VASP calculation (PBE) on Cs2LaIn after structural relaxation. Values from VASP.

```
&SYSTEM
  ibrav = 0, nat = 4, ntyp = 3
/
ATOMIC_SPECIES
Cs 132.91 Cs.upf
La 138.91 La.upf
In 114.82 In.upf
CELL_PARAMETERS angstrom
0.000 4.403 4.403
4.403 0.000 4.403
4.403 4.403 0.000
ATOMIC_POSITIONS crystal
Cs 0.250 0.250 0.250
Cs 0.750 0.750 0.750
La 0.000 0.000 0.000
In 0.500 0.500 0.500
```

Results
Magnetization: 0.00 μB per formula unit
DOS at the Fermi energy: 2.18 states/eV/f.u.
Calculated formation energy: 0.5763 eV/atom